Below is MgBe10B2 after structural relaxation, with properties calculated at the PBE level.

The space group is Cmcm (No. 63) and the conventional cell measures 7.248, 8.214 and 7.155 Å, with angles of 90.00, 90.00 and 90.00 degrees. The asymmetric unit holds Mg at (0.000, 0.117, 0.250), Be at (0.000, 0.178, 0.601), Be at (0.000, 0.394, 0.083), Be at (0.144, 0.386, 0.750), Be at (0.224, 0.000, 0.000), Be at (0.248, 0.361, 0.250) and B at (0.250, 0.250, 0.000).

The formation energy is 0.07 eV/atom. The volume is 426 Å³/cell.


Below is MgBeB2 after structural relaxation, with properties calculated at the PBE level.

The space group is I4_1/amd (No. 141, origin choice 2) and the conventional cell measures 3.579, 3.579 and 12.996 Å, with angles of 90.00, 90.00 and 90.00 degrees. The asymmetric unit holds Mg at (0.000, 0.250, 0.375), Be at (0.000, 0.250, 0.875) and B at (0.000, 0.000, 0.000).

The formation energy is 0.35 eV/atom. The volume is 166 Å³/cell. As for the energy above the most stable polymorph in this dataset: 0 meV/atom.


Below is Mg2BeB2 after structural relaxation, with properties calculated at the PBE level.

The space group is I4/mmm (No. 139) and the conventional cell measures 3.724, 3.724 and 9.375 Å, with angles of 90.00, 90.00 and 90.00 degrees. The asymmetric unit holds Mg at (0.000, 0.500, 0.250), Be at (0.000, 0.000, 0.000) and B at (0.000, 0.000, 0.416).

The formation energy is 0.72 eV/atom. The volume is 130 Å³/cell. As for the energy above the most stable polymorph in this dataset: 410 meV/atom.


Below is MgBe8B2 after structural relaxation, with properties calculated at the PBE level.

The space group is C2/m (No. 12) and the conventional cell measures 6.544, 8.598 and 3.727 Å, with angles of 90.00, 101.02 and 90.00 degrees. The asymmetric unit holds Mg at (0.000, 0.000, 0.000), Be at (0.000, 0.285, 0.000), Be at (0.083, 0.500, 0.776), Be at (0.235, 0.130, 0.565) and B at (0.000, 0.286, 0.500).

The formation energy is 0.20 eV/atom. The volume is 206 Å³/cell.


Below is MgBeB2 after structural relaxation, with properties calculated at the PBE level.

The space group is Fm-3m (No. 225) and the conventional cell measures 5.318, 5.318 and 5.318 Å, with angles of 90.00, 90.00 and 90.00 degrees. The asymmetric unit holds Mg at (0.000, 0.000, 0.000), Be at (0.000, 0.000, 0.500) and B at (0.250, 0.250, 0.250).

The formation energy is 0.91 eV/atom. The volume is 150 Å³/cell. As for the energy above the most stable polymorph in this dataset: 566 meV/atom.


Below is Mg2BeB2 after structural relaxation, with properties calculated at the PBE level.

The space group is P4/mbm (No. 127) and the conventional cell measures 5.642, 5.642 and 3.594 Å, with angles of 90.00, 90.00 and 90.00 degrees. The asymmetric unit holds Mg at (0.183, 0.317, 0.000), Be at (0.000, 0.000, 0.500) and B at (0.106, 0.606, 0.500).

The formation energy is 0.30 eV/atom. The volume is 114 Å³/cell. As for the energy above the most stable polymorph in this dataset: 0 meV/atom.


Below is MgBe2B6 after structural relaxation, with properties calculated at the PBE level.

The space group is C2/m (No. 12) and the conventional cell measures 6.478, 5.025 and 4.963 Å, with angles of 90.00, 99.67 and 90.00 degrees. The asymmetric unit holds Mg at (0.000, 0.000, 0.000), Be at (0.120, 0.500, 0.694), B at (0.000, 0.164, 0.500) and B at (0.184, 0.331, 0.343).

The formation energy is 0.30 eV/atom. The volume is 159 Å³/cell.


Below is Mg2Be2Ni5B after structural relaxation, with properties calculated at the PBE level.

The space group is P4/mbm (No. 127) and the conventional cell measures 9.019, 9.019 and 2.639 Å, with angles of 90.00, 90.00 and 90.00 degrees. The asymmetric unit holds Mg at (0.174, 0.326, 0.000), Be at (0.132, 0.632, 0.000), Ni at (0.000, 0.500, 0.500), Ni at (0.054, 0.814, 0.500) and B at (0.000, 0.000, 0.000).

The formation energy is -0.23 eV/atom. The volume is 215 Å³/cell.